No. 1
This record from the Alexandria database describes an optimized crystal structure of Ca2ZrCd2. The functional is PBE-GGA.

Output
- Energy above the lowest structure with this stoichiometry: 0.000 eV per atom
- ΔE_f: 29 meV per atom

Structure (POSCAR):
```
Ca2ZrCd2
1.0
8.324 0.000 0.000
0.000 8.324 0.000
0.000 0.000 4.026
Ca Zr Cd
4 2 4
direct
0.168 0.332 0.000 Ca
0.332 0.832 0.000 Ca
0.668 0.168 0.000 Ca
0.832 0.668 0.000 Ca
0.000 0.000 0.500 Zr
0.500 0.500 0.500 Zr
0.135 0.635 0.500 Cd
0.365 0.135 0.500 Cd
0.635 0.865 0.500 Cd
0.865 0.365 0.500 Cd
```

No. 2
This record from the Alexandria database describes an optimized crystal structure of V2HgTeRh. The functional is PBE-GGA.

Output
- Formation energy (no corrections): 17.1 kcal/mol of atoms

Structure (POSCAR):
```
V2HgTeRh
1.0
4.891 0.000 0.000
0.000 4.891 0.000
0.000 0.000 5.009
V Hg Te Rh
2 1 1 1
direct
0.000 0.500 0.000 V
0.500 0.000 0.000 V
0.000 0.000 0.500 Hg
0.500 0.500 0.500 Te
0.500 0.500 0.000 Rh
```

No. 3
This record from the Alexandria database describes an optimized crystal structure of SiTe. The functional is PBE-GGA.

Output
- Formation energy (no corrections): 4.3 kcal/mol of atoms

Structure (POSCAR):
```
SiTe
1.0
13.301 0.000 0.000
0.000 3.538 0.000
-0.086 0.000 7.271
Si Te
6 6
direct
0.000 0.000 0.000 Si
0.129 0.500 0.077 Si
0.264 0.000 0.082 Si
0.500 0.500 0.000 Si
0.629 0.000 0.077 Si
0.764 0.500 0.082 Si
0.131 0.500 0.427 Te
0.379 0.500 0.277 Te
0.387 0.000 0.797 Te
0.631 0.000 0.427 Te
0.879 0.000 0.277 Te
0.887 0.500 0.797 Te
```

No. 4
This record from the Alexandria database describes an optimized crystal structure of LiAs2W. The functional is PBE-GGA.

Output
- Energy above the lowest structure with this stoichiometry: 0.342 eV per atom
- ΔE_f: 152 meV per atom

Structure (POSCAR):
```
LiAs2W
1.0
5.845 0.000 0.000
0.000 6.619 0.000
0.000 0.000 3.222
Li As W
2 4 2
direct
0.000 0.000 0.000 Li
0.500 0.500 0.000 Li
0.250 0.250 0.500 As
0.250 0.750 0.500 As
0.750 0.250 0.500 As
0.750 0.750 0.500 As
0.000 0.500 0.000 W
0.500 0.000 0.000 W
```

No. 5
This record from the Alexandria database describes an optimized crystal structure of NaFeIr. The functional is PBE-GGA.

Output
- Energy above the lowest structure with this stoichiometry: 0.425 eV per atom
- ΔE_f: 686 meV per atom

Structure (POSCAR):
```
NaFeIr
1.0
5.393 0.000 0.000
0.000 4.224 0.000
0.000 0.000 7.899
Na Fe Ir
4 4 4
direct
0.114 0.250 0.021 Na
0.386 0.750 0.521 Na
0.614 0.250 0.479 Na
0.886 0.750 0.979 Na
0.108 0.250 0.359 Fe
0.392 0.750 0.859 Fe
0.608 0.250 0.141 Fe
0.892 0.750 0.641 Fe
0.085 0.250 0.660 Ir
0.415 0.750 0.160 Ir
0.585 0.250 0.840 Ir
0.915 0.750 0.340 Ir
```

No. 6
This record from the Alexandria database describes an optimized crystal structure of TcAgSb2Cl. The functional is PBE-GGA.

Output
- Formation energy (no corrections): 9.6 kcal/mol of atoms

Structure (POSCAR):
```
TcAgSb2Cl
1.0
5.208 0.000 0.000
0.000 5.208 0.000
0.000 0.000 4.790
Tc Ag Sb Cl
1 1 2 1
direct
0.000 0.000 0.000 Tc
0.500 0.500 0.500 Ag
0.000 0.500 0.000 Sb
0.500 0.000 0.000 Sb
0.000 0.000 0.500 Cl
```

Copy entry 2 word for word.
This record from the Alexandria database describes an optimized crystal structure of V2HgTeRh. The functional is PBE-GGA.

Output
- Formation energy (no corrections): 17.1 kcal/mol of atoms

Structure (POSCAR):
```
V2HgTeRh
1.0
4.891 0.000 0.000
0.000 4.891 0.000
0.000 0.000 5.009
V Hg Te Rh
2 1 1 1
direct
0.000 0.500 0.000 V
0.500 0.000 0.000 V
0.000 0.000 0.500 Hg
0.500 0.500 0.500 Te
0.500 0.500 0.000 Rh
```